Here is a relaxed structure of ZnFeO2 from the Alexandria database. Energies are from GGA+U.

Values from the calculation:
E = -5.1430 eV per atom
density of states at the Fermi level = 0.406 states/eV/atom

abc: 6.0669 6.0669 6.0669
angles: 29.55 29.55 29.55
With the nearest neighbours (Å) after each atom.
Sites, in units of the cell vectors:
O (0.8971, 0.8971, 0.8971)  1 Fe 1.79
O (0.1029, 0.1029, 0.1029)  1 Fe 1.79
Zn (0.5000, 0.5000, 0.5000)  6 O 2.10
Fe (0.0000, 0.0000, 0.0000)  2 O 1.79